A relaxed structure of BaSc2Mn, computed with PBE.

E above lowest polymorph: 70 kJ/mol of formula units
DFT formation energy: 0.419 eV/atom
crystal system: orthorhombic
DOS at the Fermi energy: 10.7 states/eV per cell

Cell and atoms, written as CIF:
```
data_BaSc2Mn
_cell_length_a 3.4661
_cell_length_b 5.6298
_cell_length_c 11.2911
_cell_angle_alpha 90.00
_cell_angle_beta 90.00
_cell_angle_gamma 90.00
_symmetry_space_group_name_H-M 'I m m m'
_symmetry_Int_Tables_number 71
_symmetry_space_group_name_Hall '-I 2 2'
loop_
_atom_site_label
_atom_site_type_symbol
_atom_site_fract_x
_atom_site_fract_y
_atom_site_fract_z
Ba1 Ba 0.0000 0.0000 0.0000
Sc1 Sc 0.0000 0.5000 0.2053
Mn1 Mn 0.0000 0.0000 0.5000
```

A relaxed structure of CeDyZnNi, computed with PBE.

DFT formation energy: -0.247 eV/atom
crystal system: cubic
DOS at the Fermi energy: 22.1 states/eV per cell

Cell and atoms, written as CIF:
```
data_CeDyZnNi
_cell_length_a 7.0058
_cell_length_b 7.0058
_cell_length_c 7.0058
_cell_angle_alpha 90.00
_cell_angle_beta 90.00
_cell_angle_gamma 90.00
_symmetry_space_group_name_H-M 'F -4 3 m'
_symmetry_Int_Tables_number 216
_symmetry_space_group_name_Hall 'F -4 2 3'
loop_
_atom_site_label
_atom_site_type_symbol
_atom_site_fract_x
_atom_site_fract_y
_atom_site_fract_z
Ce1 Ce 0.0000 0.0000 0.0000
Dy1 Dy 0.0000 0.0000 0.5000
Zn1 Zn 0.2500 0.2500 0.7500
Ni1 Ni 0.2500 0.2500 0.2500
```